Entry 1:
Crystalline NbOsRuSeS at its relaxed geometry. Source: the Alexandria database, functional PBE.

Summary:
Energy relative to the elements, uncorrected, eV/atom: -0.02
Excess energy over the best structure of this formula in the dataset, meV per atom: 186

Cell lengths 4.6740, 3.1412, 5.7200 Å; angles 90.00, 100.15, 90.00 degrees
Closest atoms and distances in Å follow each position.
Space group Pm (No. 6)
Symmetry-distinct sites (fractional):
Nb: 0.0000 0.0000 0.0000 (multiplicity 1)  2 S 2.57, 2 Ru 2.68-2.86, 2 Os 2.72, 2 Se 2.74
Os: 0.3203 0.5000 0.3352 (multiplicity 1)  1 S 2.25
Ru: 0.4207 0.0000 0.7357 (multiplicity 1)  2 S 2.34
Se: 0.9250 0.5000 0.6015 (multiplicity 1)  1 Os 2.59, 2 Nb 2.74, 2 Ru 2.79
S: 0.5743 0.5000 0.0350 (multiplicity 1)  1 Os 2.25, 2 Ru 2.34



Entry 2:
Crystalline NbSi2OsRu at its relaxed geometry. Source: the Alexandria database, functional PBE.

Summary:
Energy relative to the elements, uncorrected, eV/atom: 1.78

Cell lengths 4.6948, 4.6948, 4.7614 Å; angles 90.00, 90.00, 90.00 degrees
Closest atoms and distances in Å follow each position.
Space group P4/mmm (No. 123)
Symmetry-distinct sites (fractional):
Nb: 0.0000 0.0000 0.0000 (multiplicity 1)  4 Si 2.35, 2 Os 2.38
Si: 0.0000 0.5000 0.0000 (multiplicity 2)  2 Nb 2.35
Os: 0.0000 0.0000 0.5000 (multiplicity 1)  2 Nb 2.38
Ru: 0.5000 0.5000 0.5000 (multiplicity 1)  4 Os 3.32, 8 Si 3.34